This record from Alexandria via LeMat-Bulk describes PrSmHg4 after structural relaxation. The functional is PBE-GGA.

```
PrSmHg4
1.0
5.4090 -1.9947 0.0000
5.4090 1.9947 0.0000
-2.9041 0.0000 7.4236
Pr Sm Hg
1 1 4
Cartesian
0.0000 0.0000 0.0000
-1.4520 0.0000 3.7118
3.0885 0.0000 1.2705
1.6601 0.0000 4.8988
6.2538 0.0000 2.5247
4.8254 0.0000 6.1530
```

- Energy of formation from the pure elements: -0.363 eV/atom
- Raw total energy: -2.148 eV/atom
- Symmetry: No. 12
- Density of states at the Fermi level: 0.755 states/eV/atom